Entry from Alexandria: a relaxed CoN2F8 crystal (GGA+U).

Output
* DOS(E_F): 0.57 states/eV per atom
* E_tot: -0.1499 Ha/atom

Unit cell a=12.1143 b=4.9597 c=13.1727 alpha=90.00 beta=112.83 gamma=90.00
Space group C2/c (No. 15)
Asymmetric unit:
Co 0.0000 0.0223 0.2500 [4 per cell]
N 0.1099 0.2293 0.5706 [8 per cell]
F 0.0435 0.2435 0.3674 [8 per cell]
F 0.1188 0.2000 0.7504 [8 per cell]
F 0.1607 0.4738 0.5810 [8 per cell]
F 0.2006 0.0560 0.5859 [8 per cell]